The following is a PBE+U calculation of an optimized crystal structure of Li2Ti3CrO8, from Alexandria via LeMat-Bulk.

Results
The total energy is -8.002 eV/atom. The volume comes out at 10.78 A^3/atom. The offset from the most stable computed form comes out at 0.01 eV/f.u.

Cell: 8.4520 8.4520 8.4520 Å, 90.00 90.00 90.00°
With the nearest neighbours (Å) after each atom.
Space group P4_332 (No. 212)
Unique sites:
Li: 0.0021 0.0021 0.0021 x8  4 O 2.01-2.03
Ti: 0.1246 0.1254 0.6250 x12  6 O 2.00-2.02
Cr: 0.1250 0.8750 0.3750 x4  6 O 2.03
O: 0.1103 0.1142 0.3887 x24  2 Ti 2.00, 1 Li 2.01, 1 Cr 2.03
O: 0.1136 0.6136 0.8864 x8  3 Ti 2.02, 1 Li 2.03